No. 1
# Al2HPbS (PBE, relaxed)
# - spin magnetization (μB per atom) = 0.0000
data_Al2HPbS
_chemical_formula_sum 'Al2 H1 Pb1 S1'
_space_group_name_H-M_alt 'P 1'
_space_group_IT_number 1
_cell_length_a 5.362
_cell_length_b 3.791
_cell_length_c 5.362
_cell_angle_alpha 90.00
_cell_angle_beta 90.00
_cell_angle_gamma 90.00
loop_
_space_group_symop_operation_xyz
'x,y,z'
loop_
_atom_site_label
_atom_site_type_symbol
_atom_site_fract_x
_atom_site_fract_y
_atom_site_fract_z
Pb1 Pb 0.000 0.000 0.000
H1 H 0.000 0.500 0.000
S1 S 0.500 0.500 0.500
Al1 Al 0.000 0.000 0.500
Al2 Al 0.500 0.000 0.000

---

No. 2
# TaCrSb2 (PBE, relaxed)
# - formation energy (no corrections) (meV per atom) = 167
# - spin magnetization (μB per atom) = 0.4184
# - offset from the most stable computed form (meV/atom) = 93
data_TaCrSb2
_chemical_formula_sum 'Ta1 Cr1 Sb2'
_space_group_name_H-M_alt 'P 1'
_space_group_IT_number 1
_cell_length_a 5.438
_cell_length_b 5.438
_cell_length_c 4.350
_cell_angle_alpha 88.82
_cell_angle_beta 88.82
_cell_angle_gamma 39.25
loop_
_space_group_symop_operation_xyz
'x,y,z'
loop_
_atom_site_label
_atom_site_type_symbol
_atom_site_fract_x
_atom_site_fract_y
_atom_site_fract_z
Cr1 Cr 0.701 0.701 0.873
Sb1 Sb 0.980 0.980 0.882
Sb2 Sb 0.267 0.267 0.368
Ta1 Ta 0.552 0.552 0.378

---

No. 3
# Ho3PtC (PBE, relaxed)
# - spin magnetization (μB per atom) = 0.0000
# - offset from the most stable computed form (meV/atom) = 176
# - energy of formation from the pure elements (eV per atom) = -0.51
data_Ho3PtC
_chemical_formula_sum 'Ho3 Pt1 C1'
_space_group_name_H-M_alt 'P 1'
_space_group_IT_number 1
_cell_length_a 4.772
_cell_length_b 4.772
_cell_length_c 4.772
_cell_angle_alpha 90.00
_cell_angle_beta 90.00
_cell_angle_gamma 90.00
loop_
_space_group_symop_operation_xyz
'x,y,z'
loop_
_atom_site_label
_atom_site_type_symbol
_atom_site_fract_x
_atom_site_fract_y
_atom_site_fract_z
C1 C 0.000 0.000 0.000
Ho1 Ho 0.000 0.500 0.000
Ho2 Ho 0.000 0.000 0.500
Ho3 Ho 0.500 0.000 0.000
Pt1 Pt 0.500 0.500 0.500

---

No. 4
# PmNd2H6 (PBE, relaxed)
# - spin magnetization (μB per atom) = 0.0000
data_PmNd2H6
_chemical_formula_sum 'Pm1 Nd2 H6'
_space_group_name_H-M_alt 'P 1'
_space_group_IT_number 1
_cell_length_a 3.857
_cell_length_b 3.857
_cell_length_c 8.616
_cell_angle_alpha 102.93
_cell_angle_beta 102.93
_cell_angle_gamma 90.00
loop_
_space_group_symop_operation_xyz
'x,y,z'
loop_
_atom_site_label
_atom_site_type_symbol
_atom_site_fract_x
_atom_site_fract_y
_atom_site_fract_z
Pm1 Pm 0.000 0.000 0.000
Nd1 Nd 0.334 0.334 0.668
Nd2 Nd 0.666 0.666 0.332
H1 H 0.918 0.418 0.836
H2 H 0.418 0.918 0.836
H3 H 0.082 0.582 0.164
H4 H 0.750 0.250 0.500
H5 H 0.250 0.750 0.500
H6 H 0.582 0.082 0.164

---

No. 5
# SrTlSn2Rh (PBE, relaxed)
# - spin magnetization (μB per atom) = 0.0000
# - energy of formation from the pure elements (eV per atom) = -0.28
data_SrTlSn2Rh
_chemical_formula_sum 'Sr1 Tl1 Sn2 Rh1'
_space_group_name_H-M_alt 'P 1'
_space_group_IT_number 1
_cell_length_a 5.158
_cell_length_b 5.158
_cell_length_c 5.660
_cell_angle_alpha 90.00
_cell_angle_beta 90.00
_cell_angle_gamma 90.00
loop_
_space_group_symop_operation_xyz
'x,y,z'
loop_
_atom_site_label
_atom_site_type_symbol
_atom_site_fract_x
_atom_site_fract_y
_atom_site_fract_z
Sr1 Sr 0.000 0.000 0.500
Tl1 Tl 0.500 0.500 0.500
Rh1 Rh 0.000 0.000 0.000
Sn1 Sn 0.000 0.500 0.000
Sn2 Sn 0.500 0.000 0.000

---

No. 6
# PmY3Ho8 (PBE, relaxed)
# - spin magnetization (μB per atom) = 0.0001
# - energy of formation from the pure elements (eV per atom) = 0.67
data_PmY3Ho8
_chemical_formula_sum 'Pm1 Y3 Ho8'
_space_group_name_H-M_alt 'P 1'
_space_group_IT_number 1
_cell_length_a 8.346
_cell_length_b 8.346
_cell_length_c 8.346
_cell_angle_alpha 94.55
_cell_angle_beta 117.41
_cell_angle_gamma 117.41
loop_
_space_group_symop_operation_xyz
'x,y,z'
loop_
_atom_site_label
_atom_site_type_symbol
_atom_site_fract_x
_atom_site_fract_y
_atom_site_fract_z
Pm1 Pm 0.000 0.000 0.000
Y1 Y 0.500 0.750 0.250
Y2 Y 0.500 0.250 0.750
Y3 Y 0.000 0.500 0.500
Ho1 Ho 0.491 0.236 0.236
Ho2 Ho 0.509 0.745 0.745
Ho3 Ho 0.000 0.764 0.255
Ho4 Ho 0.000 0.255 0.764
Ho5 Ho 0.253 0.372 0.372
Ho6 Ho 0.747 0.120 0.120
Ho7 Ho 0.000 0.628 0.880
Ho8 Ho 0.000 0.880 0.628

---

No. 7
# NiSn2Pd (PBE, relaxed)
# - spin magnetization (μB per atom) = 0.0000
# - offset from the most stable computed form (meV/atom) = 0
# - energy of formation from the pure elements (eV per atom) = -0.22
data_NiSn2Pd
_chemical_formula_sum 'Ni1 Sn2 Pd1'
_space_group_name_H-M_alt 'P 1'
_space_group_IT_number 1
_cell_length_a 3.510
_cell_length_b 3.148
_cell_length_c 7.605
_cell_angle_alpha 114.19
_cell_angle_beta 103.51
_cell_angle_gamma 89.94
loop_
_space_group_symop_operation_xyz
'x,y,z'
loop_
_atom_site_label
_atom_site_type_symbol
_atom_site_fract_x
_atom_site_fract_y
_atom_site_fract_z
Ni1 Ni 0.447 0.394 0.677
Sn1 Sn 0.859 0.721 0.503
Sn2 Sn 0.602 0.206 0.992
Pd1 Pd 0.227 0.953 0.240

---

No. 8
# NdEu2Gd (PBE, relaxed)
# - spin magnetization (μB per atom) = 1.8695
# - offset from the most stable computed form (meV/atom) = 0
# - energy of formation from the pure elements (eV per atom) = 0.14
data_NdEu2Gd
_chemical_formula_sum 'Nd1 Eu2 Gd1'
_space_group_name_H-M_alt 'P 1'
_space_group_IT_number 1
_cell_length_a 4.147
_cell_length_b 5.958
_cell_length_c 5.958
_cell_angle_alpha 90.00
_cell_angle_beta 90.00
_cell_angle_gamma 90.00
loop_
_space_group_symop_operation_xyz
'x,y,z'
loop_
_atom_site_label
_atom_site_type_symbol
_atom_site_fract_x
_atom_site_fract_y
_atom_site_fract_z
Eu1 Eu 0.000 0.000 0.500
Eu2 Eu 0.000 0.500 0.000
Gd1 Gd 0.500 0.500 0.500
Nd1 Nd 0.500 0.000 0.000

---

No. 9
# CdCoCl2 (PBE, relaxed)
# - formation energy (no corrections) (meV per atom) = 155
# - spin magnetization (μB per atom) = 0.4629
# - offset from the most stable computed form (meV/atom) = 510
data_CdCoCl2
_chemical_formula_sum 'Cd1 Co1 Cl2'
_space_group_name_H-M_alt 'P 1'
_space_group_IT_number 1
_cell_length_a 6.550
_cell_length_b 6.550
_cell_length_c 6.550
_cell_angle_alpha 146.36
_cell_angle_beta 146.36
_cell_angle_gamma 48.31
loop_
_space_group_symop_operation_xyz
'x,y,z'
loop_
_atom_site_label
_atom_site_type_symbol
_atom_site_fract_x
_atom_site_fract_y
_atom_site_fract_z
Cl1 Cl 0.000 0.000 0.000
Cl2 Cl 0.250 0.750 0.500
Co1 Co 0.500 0.500 0.000
Cd1 Cd 0.750 0.250 0.500

---

No. 10
# Ba2Na2Pd (PBE, relaxed)
# - spin magnetization (μB per atom) = 0.0000
# - offset from the most stable computed form (meV/atom) = 198
# - energy of formation from the pure elements (eV per atom) = 0.05
data_Ba2Na2Pd
_chemical_formula_sum 'Ba4 Na4 Pd2'
_space_group_name_H-M_alt 'P 1'
_space_group_IT_number 1
_cell_length_a 7.971
_cell_length_b 7.971
_cell_length_c 5.728
_cell_angle_alpha 90.00
_cell_angle_beta 90.00
_cell_angle_gamma 90.00
loop_
_space_group_symop_operation_xyz
'x,y,z'
loop_
_atom_site_label
_atom_site_type_symbol
_atom_site_fract_x
_atom_site_fract_y
_atom_site_fract_z
Na1 Na 0.359 0.859 0.000
Na2 Na 0.859 0.641 0.000
Na3 Na 0.641 0.141 0.000
Na4 Na 0.141 0.359 0.000
Ba1 Ba 0.189 0.689 0.500
Ba2 Ba 0.689 0.811 0.500
Ba3 Ba 0.811 0.311 0.500
Ba4 Ba 0.311 0.189 0.500
Pd1 Pd 0.000 0.000 0.000
Pd2 Pd 0.500 0.500 0.000

---

No. 11
# CeBeNiP2 (PBE, relaxed)
# - spin magnetization (μB per atom) = 0.0004
# - energy of formation from the pure elements (eV per atom) = -0.89
data_CeBeNiP2
_chemical_formula_sum 'Ce1 Be1 Ni1 P2'
_space_group_name_H-M_alt 'P 1'
_space_group_IT_number 1
_cell_length_a 3.661
_cell_length_b 3.661
_cell_length_c 6.131
_cell_angle_alpha 107.37
_cell_angle_beta 107.37
_cell_angle_gamma 90.00
loop_
_space_group_symop_operation_xyz
'x,y,z'
loop_
_atom_site_label
_atom_site_type_symbol
_atom_site_fract_x
_atom_site_fract_y
_atom_site_fract_z
Ce1 Ce 0.000 0.000 0.000
Be1 Be 0.750 0.250 0.500
Ni1 Ni 0.250 0.750 0.500
P1 P 0.632 0.632 0.264
P2 P 0.368 0.368 0.736

---

No. 12
# TcBW2Se (PBE, relaxed)
# - formation energy (no corrections) (meV per atom) = 705
# - spin magnetization (μB per atom) = 0.0000
data_TcBW2Se
_chemical_formula_sum 'Tc1 B1 W2 Se1'
_space_group_name_H-M_alt 'P 1'
_space_group_IT_number 1
_cell_length_a 4.251
_cell_length_b 4.180
_cell_length_c 4.251
_cell_angle_alpha 90.00
_cell_angle_beta 90.00
_cell_angle_gamma 90.00
loop_
_space_group_symop_operation_xyz
'x,y,z'
loop_
_atom_site_label
_atom_site_type_symbol
_atom_site_fract_x
_atom_site_fract_y
_atom_site_fract_z
B1 B 0.000 0.000 0.000
Se1 Se 0.500 0.500 0.500
Tc1 Tc 0.000 0.500 0.000
W1 W 0.000 0.000 0.500
W2 W 0.500 0.000 0.000

---

Number 1: E -3.176 eV per atom, calculated density 4.483 g/cm3. Number 2: E -7.263 eV per atom, calculated density 9.725 g/cm3. Number 3: E -6.309 eV per atom, calculated density 10.726 g/cm3. Number 4: E -4.477 eV per atom, calculated density 6.003 g/cm3. Number 5: E -4.162 eV per atom, calculated density 6.973 g/cm3. Number 6: E -4.396 eV per atom, calculated density 6.754 g/cm3. Number 7: E -4.966 eV per atom, calculated density 9.018 g/cm3. Number 8: E -9.714 eV per atom, calculated density 6.830 g/cm3. Number 9: E -2.774 eV per atom, calculated density 4.686 g/cm3. Number 10: E -2.289 eV per atom, calculated density 3.897 g/cm3. Number 11: E -6.142 eV per atom, calculated density 6.015 g/cm3. Number 12: E -8.582 eV per atom, calculated density 12.209 g/cm3.